The following is a GGA-PBE calculation of an optimized crystal structure of TaTlAgSe4, from the Alexandria database.

Unit cell a=6.183 b=7.324 c=10.181 alpha=90.00 beta=104.61 gamma=90.00
Space group P2_1/m (No. 11)
Asymmetric unit:
Ta 0.160 0.250 0.274 (multiplicity 2)
Tl 0.244 0.750 0.091 (multiplicity 2)
Ag 0.337 0.750 0.715 (multiplicity 2)
Se 0.062 0.021 0.727 (multiplicity 4)
Se 0.302 0.250 0.070 (multiplicity 2)
Se 0.461 0.250 0.480 (multiplicity 2)

Values from the calculation:
Calculated volume = 31.86 A^3/atom
Formation energy without anion corrections = -2.75 eV/f.u.
Energy = -67.52 eV per cell


The following is a GGA-PBE calculation of an optimized crystal structure of TaTl3Ag2Se6, from the Alexandria database.

Unit cell a=7.130 b=12.207 c=7.501 alpha=90.00 beta=109.31 gamma=90.00
Space group C2/m (No. 12)
Asymmetric unit:
Ta 0.000 0.000 0.000 (multiplicity 2)
Tl 0.000 0.162 0.500 (multiplicity 4)
Tl 0.000 0.500 0.500 (multiplicity 2)
Ag 0.000 0.331 0.000 (multiplicity 4)
Se 0.219 0.155 0.206 (multiplicity 8)
Se 0.244 0.000 0.801 (multiplicity 4)

Values from the calculation:
Calculated volume = 25.67 A^3/atom
Formation energy without anion corrections = -3.88 eV/f.u.
Energy = -98.88 eV per cell


The following is a GGA-PBE calculation of an optimized crystal structure of TaTl2AgSe, from the Alexandria database.

Unit cell a=5.648 b=5.648 c=4.853 alpha=90.00 beta=90.00 gamma=90.00
Space group P4/mmm (No. 123)
Asymmetric unit:
Ta 0.000 0.000 0.000 (multiplicity 1)
Tl 0.000 0.500 0.000 (multiplicity 2)
Ag 0.500 0.500 0.500 (multiplicity 1)
Se 0.000 0.000 0.500 (multiplicity 1)

Values from the calculation:
Calculated volume = 30.96 A^3/atom
Formation energy without anion corrections = 2.36 eV/f.u.
Energy = -20.56 eV per cell


The following is a GGA-PBE calculation of an optimized crystal structure of UTa2Ag2Se6, from the Alexandria database.

Unit cell a=6.191 b=10.663 c=8.877 alpha=90.00 beta=109.32 gamma=90.00
Space group C2/m (No. 12)
Asymmetric unit:
U 0.000 0.000 0.000 (multiplicity 2)
Ta 0.000 0.339 0.000 (multiplicity 4)
Ag 0.000 0.217 0.500 (multiplicity 4)
Se 0.061 0.500 0.793 (multiplicity 4)
Se 0.076 0.174 0.797 (multiplicity 8)

Values from the calculation:
Calculated volume = 25.13 A^3/atom
Formation energy without anion corrections = -6.36 eV/f.u.
Energy = -135.93 eV per cell


The following is a GGA-PBE calculation of an optimized crystal structure of Ta2VAg2Se6, from the Alexandria database.

Unit cell a=6.173 b=11.156 c=7.418 alpha=90.00 beta=103.42 gamma=90.00
Space group C2/m (No. 12)
Asymmetric unit:
Ta 0.000 0.128 0.000 (multiplicity 4)
V 0.000 0.500 0.000 (multiplicity 2)
Ag 0.000 0.139 0.500 (multiplicity 4)
Se 0.209 0.328 0.195 (multiplicity 8)
Se 0.245 0.500 0.752 (multiplicity 4)

Values from the calculation:
Calculated volume = 22.59 A^3/atom
Formation energy without anion corrections = -5.79 eV/f.u.
Energy = -130.44 eV per cell


The following is a GGA-PBE calculation of an optimized crystal structure of TbAg5Se4, from the Alexandria database.

Unit cell a=4.263 b=7.777 c=14.642 alpha=90.00 beta=90.00 gamma=90.00
Space group Immm (No. 71)
Asymmetric unit:
Tb 0.000 0.000 0.000 (multiplicity 2)
Ag 0.000 0.270 0.318 (multiplicity 8)
Ag 0.000 0.500 0.000 (multiplicity 2)
Se 0.000 0.000 0.202 (multiplicity 4)
Se 0.000 0.238 0.500 (multiplicity 4)

Values from the calculation:
Calculated volume = 24.27 A^3/atom
Formation energy without anion corrections = -4.74 eV/f.u.
Energy = -75.13 eV per cell